Entry 1:
Cs3VP after structural relaxation. Source: Alexandria via LeMat-Bulk, functional PBE-GGA.

```
Cs3VP
1.0
6.478 0.000 0.000
0.000 6.478 0.000
0.000 0.000 6.478
V Cs P
1 3 1
direct
0.000 0.000 0.000
0.000 0.000 0.500
0.500 0.000 0.000
0.000 0.500 0.000
0.500 0.500 0.500
```

=====

Entry 2:
CsVP3 (PBE-GGA, optimized geometry); ΔE to the lowest computed polymorph = 0.000 eV/atom
1.0
4.759 0.000 0.000
0.000 4.759 0.000
0.000 0.000 4.759
P V Cs
3 1 1
direct
0.000 0.000 0.500
0.000 0.500 0.000
0.500 0.000 0.000
0.000 0.000 0.000
0.500 0.500 0.500

=====

Entry 3:
CsVP3 (PBE-GGA, optimized geometry); ΔE to the lowest computed polymorph = 2.254 eV/atom
1.0
5.339 0.000 0.000
0.000 5.339 0.000
0.000 0.000 5.339
P V Cs
3 1 1
direct
0.000 0.000 0.500
0.500 0.000 0.000
0.000 0.500 0.000
0.500 0.500 0.500
0.000 0.000 0.000

=====

Entry 4:
Cs2PW (PBE-GGA, optimized geometry); ΔE to the lowest computed polymorph = 0.000 eV/atom
1.0
7.445 -6.904 -2.468
-3.558 8.867 4.231
-3.504 -5.818 7.941
P W Cs
2 2 4
direct
0.750 0.250 0.500
0.500 0.500 0.000
0.000 0.000 0.000
0.250 0.750 0.500
0.125 0.875 0.250
0.125 0.375 0.250
0.625 0.875 0.750
0.125 0.875 0.750

=====

Entry 5:
Cs2PW (PBE-GGA, optimized geometry); ΔE to the lowest computed polymorph = 1.071 eV/atom
1.0
-1.613 -2.548 4.911
-5.523 -1.425 0.828
-1.579 -5.543 -0.013
P W Cs
1 1 2
direct
0.000 0.000 0.000
0.500 0.500 0.500
0.750 0.750 0.750
0.250 0.250 0.250

=====

Entry 6:
CsPW after structural relaxation. Source: Alexandria via LeMat-Bulk, functional PBE-GGA.

```
CsPW
1.0
7.172 0.000 0.000
-3.586 6.846 0.745
0.000 -0.479 4.380
Cs W P
2 2 2
direct
0.649 0.299 0.750
0.351 0.701 0.250
0.947 0.894 0.750
0.053 0.106 0.250
0.878 0.756 0.250
0.122 0.244 0.750
```

=====

Entry 7:
Cs2ZrPW after structural relaxation. Source: Alexandria via LeMat-Bulk, functional PBE-GGA.

```
Cs2ZrPW
1.0
-2.358 0.827 -5.977
-4.119 -2.453 1.285
-2.740 5.571 1.852
P Cs W Zr
1 2 1 1
direct
0.500 0.500 0.500
0.000 0.000 0.500
0.500 0.000 0.000
0.000 0.000 0.000
0.000 0.500 0.000
```

=====

Entry 8:
Cs3YP (PBE-GGA, optimized geometry); ΔE to the lowest computed polymorph = 0.000 eV/atom
1.0
-3.428 5.761 1.842
-6.036 -3.395 -0.617
0.388 -1.903 6.675
Cs P Y
3 1 1
direct
0.000 0.000 0.500
0.000 0.500 0.000
0.500 0.000 0.000
0.000 0.000 0.000
0.500 0.500 0.500

=====

Entry 9:
CsYP2 after structural relaxation. Source: Alexandria via LeMat-Bulk, functional PBE-GGA.

```
CsYP2
1.0
0.000 3.731 3.731
3.731 0.000 3.731
3.731 3.731 0.000
P Y Cs
2 1 1
direct
0.250 0.250 0.250
0.750 0.750 0.750
0.000 0.000 0.000
0.500 0.500 0.500
```

=====

Entry 10:
CsY3P (PBE-GGA, optimized geometry); ΔE to the lowest computed polymorph = 0.000 eV/atom
1.0
5.561 0.000 0.000
0.000 5.561 0.000
0.000 0.000 5.561
Y P Cs
3 1 1
direct
0.000 0.000 0.500
0.500 0.000 0.000
0.000 0.500 0.000
0.000 0.000 0.000
0.500 0.500 0.500

=====

Entry 11:
CsY3P (PBE-GGA, optimized geometry); ΔE to the lowest computed polymorph = 1.585 eV/atom
1.0
5.527 0.000 0.000
0.000 5.527 0.000
0.000 0.000 5.527
Y P Cs
3 1 1
direct
0.000 0.000 0.500
0.000 0.500 0.000
0.500 0.000 0.000
0.500 0.500 0.500
0.000 0.000 0.000

=====

Entry 12:
Cs3ZnP (PBE-GGA, optimized geometry); ΔE to the lowest computed polymorph = 0.000 eV/atom
1.0
-4.983 3.036 3.873
-0.952 -6.002 3.481
4.828 1.950 4.684
Zn Cs P
1 3 1
direct
0.500 0.500 0.500
0.000 0.000 0.500
0.000 0.500 0.000
0.500 0.000 0.000
0.000 0.000 0.000

=====

Entry 13:
Cs2Zn2P (PBE-GGA, optimized geometry); ΔE to the lowest computed polymorph = 0.062 eV/atom
1.0
3.789 0.000 0.000
0.000 3.789 0.000
1.895 1.895 11.943
Cs Zn P
2 2 1
direct
0.404 0.404 0.192
0.596 0.596 0.808
0.750 0.250 0.500
0.250 0.750 0.500
0.000 0.000 0.000

=====

Here are the calculated energy relative to the elements numbers, same order: 1.09; 0.09; 2.34; 0.72; 1.79; 0.31; 1.71; 0.60; 0.00; -0.06; 1.52; 0.13; 0.19 (eV/atom).